1.
# Ti2Al2V3 (PBE, relaxed)
data_Ti2Al2V3
_chemical_formula_sum 'Ti4 Al4 V6'
_space_group_name_H-M_alt 'C 1 2/m 1'
_space_group_IT_number 12
_cell_length_a 9.056
_cell_length_b 4.396
_cell_length_c 5.286
_cell_angle_alpha 90.00
_cell_angle_beta 90.10
_cell_angle_gamma 90.00
loop_
_space_group_symop_operation_xyz
'x,y,z'
'-x,-y,-z'
'-x,y,-z'
'x,-y,z'
'x+1/2,y+1/2,z'
'-x+1/2,-y+1/2,-z'
'-x+1/2,y+1/2,-z'
'x+1/2,-y+1/2,z'
loop_
_atom_site_label
_atom_site_fract_x
_atom_site_fract_y
_atom_site_fract_z
Ti1 0.224 0.000 0.332
Al1 0.082 0.000 0.795
V1 0.000 0.500 0.500
V2 0.123 0.500 0.101
# Total magnetic moment (μB/cell): 1.397
# E_tot (eV per cell): -103.3
# DOS(E_F) (states/eV per cell): 18.01
# Formation energy (meV/atom): -147

2.
# Ti2AlV (PBE, relaxed)
data_Ti2AlV
_chemical_formula_sum 'Ti6 Al3 V3'
_space_group_name_H-M_alt 'R -3 m'
_space_group_IT_number 166
_space_group_name_Hall '-R 3 2"'
_cell_length_a 2.8830
_cell_length_b 2.8830
_cell_length_c 26.9387
_cell_angle_alpha 90.00
_cell_angle_beta 90.00
_cell_angle_gamma 120.00
loop_
_atom_site_label
_atom_site_fract_x
_atom_site_fract_y
_atom_site_fract_z
Ti1 0.0000 0.0000 0.2466
Al1 0.0000 0.0000 0.0000
V1 0.0000 0.0000 0.5000
# Total magnetic moment (μB/cell): 0.000
# E_tot (eV per cell): -86.2
# DOS(E_F) (states/eV per cell): 13.73
# Formation energy (meV/atom): -22

3.
# Ti3AlV8 (PBE, relaxed)
data_Ti3AlV8
_chemical_formula_sum 'Ti9 Al3 V24'
_space_group_name_H-M_alt 'R 3 m'
_space_group_IT_number 160
_space_group_name_Hall 'R 3 -2"'
_cell_length_a 5.0144
_cell_length_b 5.0144
_cell_length_c 24.5991
_cell_angle_alpha 90.00
_cell_angle_beta 90.00
_cell_angle_gamma 120.00
loop_
_atom_site_label
_atom_site_fract_x
_atom_site_fract_y
_atom_site_fract_z
Ti1 0.0000 0.0000 0.0000
Ti2 0.0000 0.0000 0.1240
Ti3 0.0000 0.0000 0.6253
Al1 0.0000 0.0000 0.5000
V1 0.0000 0.0000 0.3127
V2 0.0000 0.0000 0.8118
V3 0.0001 0.5000 0.5628
V4 0.1700 0.3400 0.3951
# Total magnetic moment (μB/cell): 0.000
# E_tot (eV per cell): -300.0
# DOS(E_F) (states/eV per cell): 58.96
# Formation energy (meV/atom): 32

4.
# Ti3Al2V (PBE, relaxed)
data_Ti3Al2V
_chemical_formula_sum 'Ti12 Al8 V4'
_space_group_name_H-M_alt 'C m m m'
_space_group_IT_number 65
_space_group_name_Hall '-C 2 2'
_cell_length_a 4.538
_cell_length_b 13.565
_cell_length_c 6.182
_cell_angle_alpha 90.00
_cell_angle_beta 90.00
_cell_angle_gamma 90.00
loop_
_atom_site_label
_atom_site_fract_x
_atom_site_fract_y
_atom_site_fract_z
Ti1 0.000 0.000 0.241
Ti2 0.000 0.328 0.235
Al1 0.000 0.163 0.500
Al2 0.000 0.500 0.000
Al3 0.000 0.500 0.500
V1 0.000 0.162 0.000
# Total magnetic moment (μB/cell): 0.001
# E_tot (eV per cell): -167.8
# DOS(E_F) (states/eV per cell): 21.96
# Formation energy (meV/atom): -278

5.
# Ti2AlV4 (PBE, relaxed)
data_Ti2AlV4
_chemical_formula_sum 'Ti4 Al2 V8'
_space_group_name_H-M_alt 'C m m m'
_space_group_IT_number 65
_space_group_name_Hall '-C 2 2'
_cell_length_a 4.675
_cell_length_b 10.324
_cell_length_c 4.633
_cell_angle_alpha 90.00
_cell_angle_beta 90.00
_cell_angle_gamma 90.00
loop_
_atom_site_label
_atom_site_fract_x
_atom_site_fract_y
_atom_site_fract_z
Ti1 0.000 0.146 0.000
Al1 0.000 0.000 0.500
V1 0.000 0.291 0.500
V2 0.000 0.391 0.000
# Total magnetic moment (μB/cell): 0.000
# E_tot (eV per cell): -105.1
# DOS(E_F) (states/eV per cell): 18.30
# Formation energy (meV/atom): 491

6.
# TiAl2V2 (PBE, relaxed)
data_TiAl2V2
_chemical_formula_sum 'Ti2 Al4 V4'
_space_group_name_H-M_alt 'P 4/m b m'
_space_group_IT_number 127
_space_group_name_Hall '-P 4 2ab'
_cell_length_a 7.584
_cell_length_b 7.584
_cell_length_c 2.680
_cell_angle_alpha 90.00
_cell_angle_beta 90.00
_cell_angle_gamma 90.00
loop_
_atom_site_label
_atom_site_fract_x
_atom_site_fract_y
_atom_site_fract_z
Ti1 0.000 0.000 0.000
Al1 0.185 0.315 0.500
V1 0.109 0.609 0.000
# Total magnetic moment (μB/cell): 0.000
# E_tot (eV per cell): -68.0
# DOS(E_F) (states/eV per cell): 5.48
# Formation energy (meV/atom): -74
# Energy relative to the lowest polymorph listed for this composition (meV per atom): 60.4

7.
# Ti2AlV (PBE, relaxed)
data_Ti2AlV
_chemical_formula_sum 'Ti8 Al4 V4'
_space_group_name_H-M_alt 'F -4 3 m'
_space_group_IT_number 216
_space_group_name_Hall 'F -4 2 3'
_cell_length_a 6.326
_cell_length_b 6.326
_cell_length_c 6.326
_cell_angle_alpha 90.00
_cell_angle_beta 90.00
_cell_angle_gamma 90.00
loop_
_atom_site_label
_atom_site_fract_x
_atom_site_fract_y
_atom_site_fract_z
Ti1 0.000 0.000 0.000
Ti2 0.250 0.250 0.250
Al1 0.000 0.000 0.500
V1 0.250 0.250 0.750
# Total magnetic moment (μB/cell): 7.484
# E_tot (eV per cell): -116.3
# DOS(E_F) (states/eV per cell): 19.46
# Formation energy (meV/atom): -106

8.
# Ti2AlV (PBE, relaxed)
data_Ti2AlV
_chemical_formula_sum 'Ti2 Al1 V1'
_space_group_name_H-M_alt 'P 4/m m m'
_space_group_IT_number 123
_space_group_name_Hall '-P 4 2'
_cell_length_a 3.196
_cell_length_b 3.196
_cell_length_c 6.184
_cell_angle_alpha 90.00
_cell_angle_beta 90.00
_cell_angle_gamma 90.00
loop_
_atom_site_label
_atom_site_fract_x
_atom_site_fract_y
_atom_site_fract_z
Ti1 0.000 0.000 0.231
Al1 0.500 0.500 0.500
V1 0.500 0.500 0.000
# Total magnetic moment (μB/cell): 0.000
# E_tot (eV per cell): -29.5
# DOS(E_F) (states/eV per cell): 4.95
# Formation energy (meV/atom): -215

9.
# TiAl4V (PBE, relaxed)
data_TiAl4V
_chemical_formula_sum 'Ti4 Al16 V4'
_space_group_name_H-M_alt 'F -4 3 m'
_space_group_IT_number 216
_space_group_name_Hall 'F -4 2 3'
_cell_length_a 7.187
_cell_length_b 7.187
_cell_length_c 7.187
_cell_angle_alpha 90.00
_cell_angle_beta 90.00
_cell_angle_gamma 90.00
loop_
_atom_site_label
_atom_site_fract_x
_atom_site_fract_y
_atom_site_fract_z
Ti1 0.000 0.000 0.000
Al1 0.125 0.125 0.375
V1 0.250 0.250 0.750
# Total magnetic moment (μB/cell): 0.004
# E_tot (eV per cell): -131.8
# DOS(E_F) (states/eV per cell): 12.23
# Formation energy (meV/atom): -162
# Energy relative to the lowest polymorph listed for this composition (meV per atom): 0.0

10.
# Ti7Al3V2 (PBE, relaxed)
data_Ti7Al3V2
_chemical_formula_sum 'Ti7 Al3 V2'
_space_group_name_H-M_alt 'P 1 2/m 1'
_space_group_IT_number 10
_cell_length_a 4.657
_cell_length_b 2.750
_cell_length_c 15.264
_cell_angle_alpha 90.00
_cell_angle_beta 93.65
_cell_angle_gamma 90.00
loop_
_space_group_symop_operation_xyz
'x,y,z'
'-x,-y,-z'
'-x,y,-z'
'x,-y,z'
loop_
_atom_site_label
_atom_site_fract_x
_atom_site_fract_y
_atom_site_fract_z
Ti1 0.000 0.000 0.000
Ti2 0.192 0.500 0.194
Ti3 0.258 0.500 0.545
Ti4 0.318 0.000 0.854
Al1 0.222 0.000 0.373
Al2 0.500 0.500 0.000
V1 0.299 0.500 0.705
# Total magnetic moment (μB/cell): 0.005
# E_tot (eV per cell): -85.2
# DOS(E_F) (states/eV per cell): 14.03
# Formation energy (meV/atom): -37

11.
# Ti7AlV2 (PBE, relaxed)
data_Ti7AlV2
_chemical_formula_sum 'Ti14 Al2 V4'
_space_group_name_H-M_alt 'C m m m'
_space_group_IT_number 65
_space_group_name_Hall '-C 2 2'
_cell_length_a 6.911
_cell_length_b 12.701
_cell_length_c 4.412
_cell_angle_alpha 90.00
_cell_angle_beta 90.00
_cell_angle_gamma 90.00
loop_
_atom_site_label
_atom_site_fract_x
_atom_site_fract_y
_atom_site_fract_z
Ti1 0.000 0.000 0.000
Ti2 0.000 0.224 0.500
Ti3 0.181 0.389 0.000
Al1 0.000 0.500 0.500
V1 0.000 0.214 0.000
# Total magnetic moment (μB/cell): 0.000
# E_tot (eV per cell): -142.5
# DOS(E_F) (states/eV per cell): 23.40
# Formation energy (meV/atom): 597